No. 1
La3Pr2Ag2: relaxed, PBE.

a b c (Å): 13.159 3.953 9.661
angles (deg): 90.00 115.29 90.00
Positions (direct):
La  0.000  0.000  0.000
La  0.110  0.000  0.447
La  0.390  0.500  0.553
La  0.500  0.500  0.000
La  0.610  0.500  0.447
La  0.890  0.000  0.553
Pr  0.153  0.500  0.818
Pr  0.347  0.000  0.182
Pr  0.653  0.000  0.818
Pr  0.847  0.500  0.182
Ag  0.169  0.500  0.228
Ag  0.331  0.000  0.772
Ag  0.669  0.000  0.228
Ag  0.831  0.500  0.772

Summary:
* calculated formation energy: -0.12 eV per atom
* crystal system: monoclinic
* space group: C2/m (12)
* total moment: 0.0 Bohr magnetons per cell

=====

No. 2
Na2LaH8Rh: relaxed, PBE.

a b c (Å): 4.811 4.811 6.400
angles (deg): 90.00 90.00 120.00
Positions (direct):
Na  0.333  0.667  0.368
Na  0.667  0.333  0.632
La  0.000  0.000  0.000
H  0.157  0.315  0.661
H  0.157  0.843  0.661
H  0.315  0.157  0.339
H  0.333  0.667  0.018
H  0.667  0.333  0.982
H  0.685  0.843  0.661
H  0.843  0.157  0.339
H  0.843  0.685  0.339
Rh  0.000  0.000  0.500

Summary:
* crystal system: trigonal
* space group: P-3m1 (164)
* total moment: 0.0 Bohr magnetons per cell
* electronic total energy: -46.090 eV per formula unit